Entry 1:
Computed, not measured: crystalline ZnSb2I at its relaxed geometry at the PBE level of DFT.

Unit cell a=5.351 b=5.351 c=5.351 alpha=60.00 beta=60.00 gamma=60.00
Sites, in units of the cell vectors:
Zn  0.000  0.000  0.000
Sb  0.250  0.250  0.250
Sb  0.750  0.750  0.750
I  0.500  0.500  0.500

N(E_F)   0.69 states/eV/atom
Energy relative to the elements, uncorrected   462 meV/atom
ΔE to the lowest computed polymorph   0.109 eV/atom

Entry 2:
Computed, not measured: crystalline SrPdO3 at its relaxed geometry at the PBE level of DFT.

Unit cell a=4.406 b=4.406 c=4.406 alpha=90.00 beta=90.00 gamma=90.00
Sites, in units of the cell vectors:
Sr  0.000  0.000  0.000
Pd  0.500  0.500  0.500
O  0.000  0.000  0.500
O  0.000  0.500  0.000
O  0.500  0.000  0.000

N(E_F)   4.46 states/eV/atom
Energy relative to the elements, uncorrected   359 meV/atom

Entry 3:
Computed, not measured: crystalline BaIrF at its relaxed geometry at the PBE level of DFT.

Unit cell a=7.589 b=7.589 c=4.416 alpha=90.00 beta=90.00 gamma=144.79
Sites, in units of the cell vectors:
Ba  0.147  0.853  0.750
Ba  0.853  0.147  0.250
Ir  0.471  0.529  0.750
Ir  0.529  0.471  0.250
F  0.252  0.748  0.250
F  0.748  0.252  0.750

N(E_F)   0.24 states/eV/atom
Energy relative to the elements, uncorrected   -1721 meV/atom
ΔE to the lowest computed polymorph   0.197 eV/atom

Entry 4:
Computed, not measured: crystalline MnCoHg3 at its relaxed geometry at the PBE level of DFT.

Unit cell a=4.975 b=4.975 c=4.975 alpha=90.00 beta=90.00 gamma=90.00
Sites, in units of the cell vectors:
Mn  0.000  0.000  0.000
Co  0.500  0.500  0.500
Hg  0.000  0.500  0.500
Hg  0.500  0.000  0.500
Hg  0.500  0.500  0.000

N(E_F)   0.69 states/eV/atom
ΔE to the lowest computed polymorph   0.000 eV/atom
DFT formation energy   344.2 kJ/mol of formula units

Entry 5:
Computed, not measured: crystalline KSrSi2 at its relaxed geometry at the PBE level of DFT.

Unit cell a=5.855 b=5.855 c=5.855 alpha=133.87 beta=133.87 gamma=67.29
Sites, in units of the cell vectors:
K  0.000  0.000  0.000
Sr  0.500  0.500  0.000
Si  0.250  0.750  0.500
Si  0.750  0.250  0.500

N(E_F)   0.48 states/eV/atom
Energy relative to the elements, uncorrected   266 meV/atom
ΔE to the lowest computed polymorph   0.444 eV/atom

Entry 6:
Computed, not measured: crystalline Li2PtCl6 at its relaxed geometry at the PBE level of DFT.

Unit cell a=5.960 b=5.960 c=11.090 alpha=90.00 beta=90.00 gamma=90.00
Sites, in units of the cell vectors:
Li  0.000  0.000  0.169
Li  0.000  0.000  0.831
Li  0.500  0.500  0.331
Li  0.500  0.500  0.669
Pt  0.000  0.000  0.500
Pt  0.500  0.500  0.000
Cl  0.187  0.187  0.343
Cl  0.187  0.187  0.657
Cl  0.220  0.220  0.000
Cl  0.280  0.720  0.500
Cl  0.313  0.687  0.157
Cl  0.313  0.687  0.843
Cl  0.687  0.313  0.157
Cl  0.687  0.313  0.843
Cl  0.720  0.280  0.500
Cl  0.780  0.780  0.000
Cl  0.813  0.813  0.343
Cl  0.813  0.813  0.657

Energy relative to the elements, uncorrected   -1014 meV/atom
ΔE to the lowest computed polymorph   0.047 eV/atom

Entry 7:
Computed, not measured: crystalline Tb7Nd6Ho16 at its relaxed geometry at the PBE level of DFT.

Unit cell a=11.168 b=11.168 c=11.168 alpha=60.00 beta=60.00 gamma=60.00
Sites, in units of the cell vectors:
Tb  0.000  0.000  0.000
Tb  0.000  0.000  0.500
Tb  0.000  0.500  0.000
Tb  0.000  0.500  0.500
Tb  0.500  0.000  0.000
Tb  0.500  0.000  0.500
Tb  0.500  0.500  0.000
Nd  0.271  0.271  0.729
Nd  0.271  0.729  0.271
Nd  0.271  0.729  0.729
Nd  0.729  0.271  0.271
Nd  0.729  0.271  0.729
Nd  0.729  0.729  0.271
Ho  0.047  0.651  0.651
Ho  0.127  0.127  0.127
Ho  0.127  0.127  0.619
Ho  0.127  0.619  0.127
Ho  0.349  0.349  0.349
Ho  0.349  0.349  0.953
Ho  0.349  0.953  0.349
Ho  0.381  0.873  0.873
Ho  0.619  0.127  0.127
Ho  0.651  0.047  0.651
Ho  0.651  0.651  0.047
Ho  0.651  0.651  0.651
Ho  0.873  0.381  0.873
Ho  0.873  0.873  0.381
Ho  0.873  0.873  0.873
Ho  0.953  0.349  0.349

N(E_F)   1.94 states/eV/atom
DFT formation energy   667.1 kJ/mol of formula units

Entry 8:
Computed, not measured: crystalline RbNa2NbS4 at its relaxed geometry at the PBE level of DFT.

Unit cell a=8.789 b=8.789 c=8.789 alpha=128.94 beta=126.96 gamma=76.71
Sites, in units of the cell vectors:
Rb  0.000  0.000  0.000
Rb  0.500  0.000  0.500
Na  0.000  0.500  0.500
Na  0.500  0.000  0.000
Na  0.500  0.500  0.000
Na  0.500  0.500  0.500
Nb  0.000  0.000  0.500
Nb  0.000  0.500  0.000
S  0.172  0.210  0.537
S  0.172  0.635  0.963
S  0.213  0.240  0.973
S  0.233  0.760  0.473
S  0.767  0.240  0.527
S  0.787  0.760  0.027
S  0.828  0.365  0.037
S  0.828  0.790  0.463

N(E_F)   0.22 states/eV/atom
Energy relative to the elements, uncorrected   -924 meV/atom

Entry 9:
Computed, not measured: crystalline As2RuCl at its relaxed geometry at the PBE level of DFT.

Unit cell a=4.041 b=4.041 c=7.748 alpha=107.36 beta=107.36 gamma=45.91
Sites, in units of the cell vectors:
As  0.149  0.149  0.334
As  0.851  0.851  0.666
Ru  0.500  0.500  0.500
Cl  0.000  0.000  0.000

N(E_F)   0.35 states/eV/atom
Energy relative to the elements, uncorrected   -172 meV/atom
ΔE to the lowest computed polymorph   0.000 eV/atom

Entry 10:
Computed, not measured: crystalline KCa2TlIr at its relaxed geometry at the PBE level of DFT.

Unit cell a=5.578 b=5.578 c=5.433 alpha=90.00 beta=90.00 gamma=90.00
Sites, in units of the cell vectors:
K  0.000  0.000  0.000
Ca  0.000  0.500  0.500
Ca  0.500  0.000  0.500
Tl  0.500  0.500  0.000
Ir  0.500  0.500  0.500

N(E_F)   0.25 states/eV/atom
DFT formation energy   -78.8 kJ/mol of formula units

Number 1: ρ 6.68 g cm⁻³. Number 2: ρ 4.70 g cm⁻³. Number 3: ρ 7.89 g cm⁻³. Number 4: ρ 9.65 g cm⁻³. Number 5: ρ 2.96 g cm⁻³. Number 6: ρ 3.55 g cm⁻³. Number 7: ρ 7.78 g cm⁻³. Number 8: ρ 2.86 g cm⁻³. Number 9: ρ 5.53 g cm⁻³. Number 10: ρ 5.07 g cm⁻³.